CsIn2Rh (PBE, optimized geometry); total magnetic moment = 0.00 μB per atom; raw total energy = -27.66 eV per cell; calculated volume = 43.25 A^3/atom; offset from the most stable computed form = 3.10 kJ/mol of atoms
1.0
6.738 0.000 0.000
0.000 6.738 0.000
3.369 3.369 7.620
Cs Rh In
2 2 4
Direct
0.000 0.000 0.000
0.750 0.250 0.500
0.500 0.500 0.000
0.250 0.750 0.500
0.376 0.125 0.250
0.374 0.625 0.250
0.375 0.624 0.750
0.875 0.626 0.750


CsInRh3 (PBE, optimized geometry); total magnetic moment = 0.30 μB per atom; raw total energy = -20.53 eV per cell; calculated volume = 26.38 A^3/atom; offset from the most stable computed form = 0.00 kJ/mol of atoms
1.0
5.091 0.000 0.000
0.000 5.091 0.000
0.000 0.000 5.091
Cs Rh In
1 3 1
Direct
0.500 0.500 0.500
0.000 0.500 0.000
0.000 0.000 0.500
0.500 0.000 0.000
0.000 0.000 0.000


CsIn2RhS (PBE, optimized geometry); total magnetic moment = 0.30 μB per atom; raw total energy = -10.31 eV per cell; calculated volume = 47.43 A^3/atom; energy relative to the elements, uncorrected = 1501 meV/atom
1.0
6.517 0.000 0.000
0.000 5.584 0.000
0.000 0.000 6.517
Cs S Rh In
1 1 1 2
Direct
0.000 0.000 0.000
0.000 0.500 0.000
0.500 0.500 0.500
0.000 0.000 0.500
0.500 0.000 0.000


CsInRhS2 (PBE, optimized geometry); total magnetic moment = 0.17 μB per atom; raw total energy = -18.44 eV per cell; calculated volume = 26.55 A^3/atom; energy relative to the elements, uncorrected = 151 meV/atom
1.0
4.927 0.000 0.000
0.000 5.470 0.000
0.000 0.000 4.927
Cs S Rh In
1 2 1 1
Direct
0.000 0.500 0.000
0.000 0.000 0.500
0.500 0.000 0.000
0.000 0.000 0.000
0.500 0.500 0.500


CsInSb2Rh (PBE, optimized geometry); total magnetic moment = 0.00 μB per atom; raw total energy = -11.54 eV per cell; calculated volume = 39.59 A^3/atom; energy relative to the elements, uncorrected = 1530 meV/atom
1.0
-2.386 5.605 -1.411
-2.124 -1.951 -4.161
-5.150 -1.369 3.271
Cs Sb Rh In
1 2 1 1
Direct
0.000 0.000 0.000
0.000 0.000 0.500
0.500 0.000 0.000
0.000 0.500 0.000
0.500 0.500 0.500


CsInSbRh2 (PBE, optimized geometry); total magnetic moment = 0.00 μB per atom; raw total energy = -18.37 eV per cell; calculated volume = 30.10 A^3/atom; energy relative to the elements, uncorrected = 810 meV/atom
1.0
5.202 0.000 0.000
0.000 5.562 0.000
0.000 0.000 5.202
Cs Sb Rh In
1 1 2 1
Direct
0.500 0.500 0.500
0.000 0.500 0.000
0.000 0.000 0.500
0.500 0.000 0.000
0.000 0.000 0.000


CsInRhSe2 (PBE, optimized geometry); total magnetic moment = 0.23 μB per atom; raw total energy = -17.19 eV per cell; calculated volume = 31.48 A^3/atom; energy relative to the elements, uncorrected = 144 meV/atom
1.0
-0.891 -3.408 4.232
3.814 -3.093 -1.687
3.628 2.819 3.034
Cs Rh Se In
1 1 2 1
Direct
0.500 0.500 0.500
0.000 0.500 0.000
0.000 0.000 0.500
0.500 0.000 0.000
0.000 0.000 0.000


CsIn2SnRh (PBE, optimized geometry); total magnetic moment = 0.00 μB per atom; raw total energy = -18.40 eV per cell; calculated volume = 29.72 A^3/atom
1.0
-1.506 1.019 -4.989
1.977 -4.678 -1.552
-4.657 -2.280 0.940
Cs Rh Sn In
1 1 1 2
Direct
0.500 0.500 0.500
0.000 0.000 0.000
0.000 0.000 0.500
0.000 0.500 0.000
0.500 0.000 0.000


Number 1: Fermi-level density of states 0.48 states/eV/f.u.. Number 2: Fermi-level density of states 4.77 states/eV/f.u.. Number 3: Fermi-level density of states 9.68 states/eV/f.u.. Number 4: Fermi-level density of states 4.88 states/eV/f.u.. Number 5: Fermi-level density of states 7.22 states/eV/f.u.. Number 6: Fermi-level density of states 7.44 states/eV/f.u.. Number 7: Fermi-level density of states 3.80 states/eV/f.u.. Number 8: Fermi-level density of states 3.09 states/eV/f.u..